Entry 1:
# NaHfCuCl2, optimized geometry, DFT PBE-GGA
# * E: -3.516 eV/atom
# * Fermi-level density of states: 2.766 states/eV per cell
data_NaHfCuCl2
_chemical_formula_sum 'Na1 Hf1 Cu1 Cl2'
_cell_length_a 4.6982
_cell_length_b 4.6982
_cell_length_c 5.1838
_cell_angle_alpha 90.00
_cell_angle_beta 90.00
_cell_angle_gamma 90.00
_space_group_name_H-M_alt 'P 4/m m m'
_space_group_IT_number 123
_space_group_name_Hall '-P 4 2'
loop_
_atom_site_label
_atom_site_type_symbol
_atom_site_fract_x
_atom_site_fract_y
_atom_site_fract_z
Na1 Na 0.0000 0.0000 0.0000
Hf1 Hf 0.5000 0.5000 0.5000
Cu1 Cu 0.0000 0.0000 0.5000
Cl1 Cl 0.0000 0.5000 0.0000



Entry 2:
# LiAc2Tm, optimized geometry, DFT PBE-GGA
# * energy above the lowest structure with this stoichiometry: 139.0 meV/atom
# * ΔE_f: 0.215 eV/atom
# * Fermi-level density of states: 14.771 states/eV per cell
data_LiAc2Tm
_chemical_formula_sum 'Li3 Ac6 Tm3'
_cell_length_a 3.7582
_cell_length_b 3.7582
_cell_length_c 38.4294
_cell_angle_alpha 90.00
_cell_angle_beta 90.00
_cell_angle_gamma 120.00
_space_group_name_H-M_alt 'R -3 m'
_space_group_IT_number 166
_space_group_name_Hall '-R 3 2"'
loop_
_atom_site_label
_atom_site_type_symbol
_atom_site_fract_x
_atom_site_fract_y
_atom_site_fract_z
Li1 Li 0.0000 0.0000 0.0000
Ac1 Ac 0.0000 0.0000 0.0900
Tm1 Tm 0.0000 0.0000 0.5000



Entry 3:
# TbThZr2, optimized geometry, DFT PBE-GGA
# * energy above the lowest structure with this stoichiometry: 35.8 meV/atom
# * ΔE_f: 0.150 eV/atom
# * Fermi-level density of states: 16.694 states/eV per cell
data_TbThZr2
_chemical_formula_sum 'Tb3 Th3 Zr6'
_cell_length_a 3.4055
_cell_length_b 3.4055
_cell_length_c 32.6187
_cell_angle_alpha 90.00
_cell_angle_beta 90.00
_cell_angle_gamma 120.00
_space_group_name_H-M_alt 'R -3 m'
_space_group_IT_number 166
_space_group_name_Hall '-R 3 2"'
loop_
_atom_site_label
_atom_site_type_symbol
_atom_site_fract_x
_atom_site_fract_y
_atom_site_fract_z
Tb1 Tb 0.0000 0.0000 0.0000
Th1 Th 0.0000 0.0000 0.5000
Zr1 Zr 0.0000 0.0000 0.2486



Entry 4:
# Sr2MoHSe, optimized geometry, DFT PBE-GGA
# * E: -3.919 eV/atom
# * Fermi-level density of states: 3.129 states/eV per cell
data_Sr2MoHSe
_chemical_formula_sum 'Sr2 Mo1 H1 Se1'
_cell_length_a 5.9071
_cell_length_b 5.9071
_cell_length_c 4.7169
_cell_angle_alpha 90.00
_cell_angle_beta 90.00
_cell_angle_gamma 90.00
_space_group_name_H-M_alt 'P 4/m m m'
_space_group_IT_number 123
_space_group_name_Hall '-P 4 2'
loop_
_atom_site_label
_atom_site_type_symbol
_atom_site_fract_x
_atom_site_fract_y
_atom_site_fract_z
Sr1 Sr 0.0000 0.5000 0.0000
Mo1 Mo 0.0000 0.0000 0.0000
H1 H 0.5000 0.5000 0.5000
Se1 Se 0.0000 0.0000 0.5000



Entry 5:
# Ti2PdAu2, optimized geometry, DFT PBE-GGA
# * energy above the lowest structure with this stoichiometry: 151.3 meV/atom
# * ΔE_f: -0.300 eV/atom
# * Fermi-level density of states: 11.747 states/eV per cell
data_Ti2PdAu2
_chemical_formula_sum 'Ti4 Pd2 Au4'
_cell_length_a 7.2796
_cell_length_b 7.2796
_cell_length_c 3.2962
_cell_angle_alpha 90.00
_cell_angle_beta 90.00
_cell_angle_gamma 90.00
_space_group_name_H-M_alt 'P 4/m b m'
_space_group_IT_number 127
_space_group_name_Hall '-P 4 2ab'
loop_
_atom_site_label
_atom_site_type_symbol
_atom_site_fract_x
_atom_site_fract_y
_atom_site_fract_z
Ti1 Ti 0.1687 0.3313 0.0000
Pd1 Pd 0.0000 0.0000 0.5000
Au1 Au 0.1341 0.6341 0.5000



Entry 6:
# SiTcNiRh, optimized geometry, DFT PBE-GGA
# * E: -7.539 eV/atom
# * Fermi-level density of states: 2.451 states/eV per cell
data_SiTcNiRh
_chemical_formula_sum 'Si1 Tc1 Ni1 Rh1'
_cell_length_a 2.8309
_cell_length_b 2.8309
_cell_length_c 6.4045
_cell_angle_alpha 90.00
_cell_angle_beta 90.00
_cell_angle_gamma 90.00
_space_group_name_H-M_alt 'P 4 m m'
_space_group_IT_number 99
loop_
_space_group_symop_operation_xyz
'x,y,z'
'-y,x,z'
'-x,-y,z'
'y,-x,z'
'-x,y,z'
'y,x,z'
'x,-y,z'
'-y,-x,z'
loop_
_atom_site_label
_atom_site_type_symbol
_atom_site_fract_x
_atom_site_fract_y
_atom_site_fract_z
Si1 Si 0.0000 0.0000 0.0000
Tc1 Tc 0.5000 0.5000 0.2566
Ni1 Ni 0.5000 0.5000 0.8165
Rh1 Rh 0.0000 0.0000 0.5276